Record 1
The following is a DFT calculation (GGA-PBE) of a relaxed structure of TbPm2Be.

Properties
Spin magnetization ... 0.00 Bohr magnetons per cell
Crystal system ... trigonal
Energy relative to the elements ... 0.686 eV per atom

Structure (CIF):
```
data_TbPm2Be
_chemical_formula_sum 'Tb3 Pm6 Be3'
_symmetry_space_group_name_H-M 'R -3 m'
_symmetry_Int_Tables_number 166
_symmetry_space_group_name_Hall '-R 3 2"'
_cell_length_a 3.4797
_cell_length_b 3.4797
_cell_length_c 34.8675
_cell_angle_alpha 90.00
_cell_angle_beta 90.00
_cell_angle_gamma 120.00
loop_
_atom_site_label
_atom_site_type_symbol
_atom_site_fract_x
_atom_site_fract_y
_atom_site_fract_z
Tb1 Tb 0.0000 0.0000 0.0000
Pm1 Pm 0.0000 0.0000 0.4158
Be1 Be 0.0000 0.0000 0.5000
```

Record 2
The following is a DFT calculation (GGA-PBE) of a relaxed structure of Ni6Ir2Pd.

Properties
Spin magnetization ... 9.39 Bohr magnetons per cell
Crystal system ... monoclinic
Energy relative to the elements ... 0.172 eV per atom

Structure (CIF):
```
data_Ni6Ir2Pd
_chemical_formula_sum 'Ni12 Ir4 Pd2'
_symmetry_space_group_name_H-M 'C 1 2/m 1'
_symmetry_Int_Tables_number 12
_symmetry_space_group_name_Hall '-C 2y'
_cell_length_a 7.1360
_cell_length_b 5.3861
_cell_length_c 6.3229
_cell_angle_alpha 90.00
_cell_angle_beta 110.27
_cell_angle_gamma 90.00
loop_
_atom_site_label
_atom_site_type_symbol
_atom_site_fract_x
_atom_site_fract_y
_atom_site_fract_z
Ni1 Ni 0.0668 0.2172 0.2109
Ni2 Ni 0.1685 0.0000 0.5882
Ir1 Ir 0.2237 0.5000 0.9866
Pd1 Pd 0.0000 0.5000 0.5000
```

Record 3
The following is a DFT calculation (GGA-PBE) of a relaxed structure of YTaGe2Pd.

Properties
Spin magnetization ... 0.00 Bohr magnetons per cell
Crystal system ... tetragonal
Energy relative to the elements ... 1.597 eV per atom

Structure (CIF):
```
data_YTaGe2Pd
_chemical_formula_sum 'Y1 Ta1 Ge2 Pd1'
_symmetry_space_group_name_H-M 'P 4/m m m'
_symmetry_Int_Tables_number 123
_symmetry_space_group_name_Hall '-P 4 2'
_cell_length_a 5.1915
_cell_length_b 5.1915
_cell_length_c 5.0607
_cell_angle_alpha 90.00
_cell_angle_beta 90.00
_cell_angle_gamma 90.00
loop_
_atom_site_label
_atom_site_type_symbol
_atom_site_fract_x
_atom_site_fract_y
_atom_site_fract_z
Y1 Y 0.0000 0.0000 0.0000
Ta1 Ta 0.0000 0.0000 0.5000
Ge1 Ge 0.0000 0.5000 0.0000
Pd1 Pd 0.5000 0.5000 0.5000
```

Record 4
The following is a DFT calculation (GGA-PBE) of a relaxed structure of Hf4InCo2.

Properties
Spin magnetization ... 0.00 Bohr magnetons per cell
Crystal system ... trigonal
Energy relative to the elements ... -0.049 eV per atom

Structure (CIF):
```
data_Hf4InCo2
_chemical_formula_sum 'Hf12 In3 Co6'
_symmetry_space_group_name_H-M 'R -3 m'
_symmetry_Int_Tables_number 166
_symmetry_space_group_name_Hall '-R 3 2"'
_cell_length_a 4.1987
_cell_length_b 4.1987
_cell_length_c 28.2396
_cell_angle_alpha 90.00
_cell_angle_beta 90.00
_cell_angle_gamma 120.00
loop_
_atom_site_label
_atom_site_type_symbol
_atom_site_fract_x
_atom_site_fract_y
_atom_site_fract_z
Hf1 Hf 0.0000 0.0000 0.1021
Hf2 Hf 0.0000 0.0000 0.3010
In1 In 0.0000 0.0000 0.5000
Co1 Co 0.0000 0.0000 0.3971
```

Record 5
The following is a DFT calculation (GGA-PBE) of a relaxed structure of In2SnIrCl.

Properties
Formation energy without anion corrections ... -225 kJ/mol of formula units
Spin magnetization ... 0.00 Bohr magnetons per cell
Crystal system ... tetragonal

Structure (CIF):
```
data_In2SnIrCl
_chemical_formula_sum 'In2 Sn1 Ir1 Cl1'
_symmetry_space_group_name_H-M 'P 4/m m m'
_symmetry_Int_Tables_number 123
_symmetry_space_group_name_Hall '-P 4 2'
_cell_length_a 5.2286
_cell_length_b 5.2286
_cell_length_c 5.0453
_cell_angle_alpha 90.00
_cell_angle_beta 90.00
_cell_angle_gamma 90.00
loop_
_atom_site_label
_atom_site_type_symbol
_atom_site_fract_x
_atom_site_fract_y
_atom_site_fract_z
In1 In 0.0000 0.5000 0.0000
Sn1 Sn 0.0000 0.0000 0.5000
Ir1 Ir 0.0000 0.0000 0.0000
Cl1 Cl 0.5000 0.5000 0.5000
```

Record 6
The following is a DFT calculation (GGA-PBE) of a relaxed structure of Ba2Ga2Ag.

Properties
Spin magnetization ... 0.00 Bohr magnetons per cell
Crystal system ... orthorhombic
Energy relative to the elements ... -0.276 eV per atom

Structure (CIF):
```
data_Ba2Ga2Ag
_chemical_formula_sum 'Ba4 Ga4 Ag2'
_symmetry_space_group_name_H-M 'A m m 2'
_symmetry_Int_Tables_number 38
_symmetry_space_group_name_Hall 'A 2 -2'
_cell_length_a 4.2526
_cell_length_b 4.7624
_cell_length_c 15.4925
_cell_angle_alpha 90.00
_cell_angle_beta 90.00
_cell_angle_gamma 90.00
loop_
_atom_site_label
_atom_site_type_symbol
_atom_site_fract_x
_atom_site_fract_y
_atom_site_fract_z
Ba1 Ba 0.0000 0.0000 0.0000
Ba2 Ba 0.0000 0.0000 0.2356
Ga1 Ga 0.5000 0.0000 0.6256
Ga2 Ga 0.5000 0.0000 0.8187
Ag1 Ag 0.5000 0.0000 0.4097
```

Record 7
The following is a DFT calculation (GGA-PBE) of a relaxed structure of NaLiPaSe3.

Properties
Formation energy without anion corrections ... -758 kJ/mol of formula units
Spin magnetization ... 2.01 Bohr magnetons per cell
Crystal system ... monoclinic

Structure (CIF):
```
data_NaLiPaSe3
_chemical_formula_sum 'Na2 Li2 Pa2 Se6'
_symmetry_space_group_name_H-M 'P 1 21/m 1'
_symmetry_Int_Tables_number 11
_symmetry_space_group_name_Hall '-P 2yb'
_cell_length_a 7.4941
_cell_length_b 4.1937
_cell_length_c 10.4401
_cell_angle_alpha 90.00
_cell_angle_beta 100.62
_cell_angle_gamma 90.00
loop_
_atom_site_label
_atom_site_type_symbol
_atom_site_fract_x
_atom_site_fract_y
_atom_site_fract_z
Na1 Na 0.1242 0.2500 0.1804
Li1 Li 0.1528 0.7500 0.5632
Pa1 Pa 0.3764 0.2500 0.8293
Se1 Se 0.0342 0.2500 0.6723
Se2 Se 0.2694 0.7500 0.9959
Se3 Se 0.4901 0.7500 0.6826
```

Record 8
The following is a DFT calculation (GGA-PBE) of a relaxed structure of Be2SiRu.

Properties
Formation energy without anion corrections ... 87 kJ/mol of formula units
Spin magnetization ... 0.00 Bohr magnetons per cell
Crystal system ... orthorhombic

Structure (CIF):
```
data_Be2SiRu
_chemical_formula_sum 'Be4 Si2 Ru2'
_symmetry_space_group_name_H-M 'C m m m'
_symmetry_Int_Tables_number 65
_symmetry_space_group_name_Hall '-C 2 2'
_cell_length_a 2.7979
_cell_length_b 4.5063
_cell_length_c 7.5490
_cell_angle_alpha 90.00
_cell_angle_beta 90.00
_cell_angle_gamma 90.00
loop_
_atom_site_label
_atom_site_type_symbol
_atom_site_fract_x
_atom_site_fract_y
_atom_site_fract_z
Be1 Be 0.0000 0.0000 0.2374
Si1 Si 0.0000 0.5000 0.5000
Ru1 Ru 0.0000 0.5000 0.0000
```